(1)
# Fe2CuPt

A PBEsol-optimized structure of Fe2CuPt (meta-GGA SCAN, Alexandria).

Computed properties:
Formation energy in eV per atom: -0.161

Geometry as POSCAR:
```
Fe2CuPt
1.0
2.6238 0.0000 0.0000
0.0000 2.6238 0.0000
0.0000 0.0000 7.1955
Fe Cu Pt
2 1 1
Cartesian
0.0000 0.0000 1.7156
0.0000 0.0000 5.4799
1.3119 1.3119 0.0000
1.3119 1.3119 3.5977
```

=====

(2)
# Fe6CuPt

A PBEsol-optimized structure of Fe6CuPt (meta-GGA SCAN, Alexandria).

Computed properties:
Formation energy in eV per atom: -0.092

Geometry as POSCAR:
```
Fe6CuPt
1.0
3.5959 -5.1137 0.0000
3.5959 5.1137 0.0000
0.0000 0.0000 10.2194
Fe Cu Pt
24 4 4
Cartesian
0.0000 0.0000 0.0000
0.0000 0.0000 5.1097
1.7511 1.3008 1.2387
1.7511 1.3008 8.9807
1.7673 1.2628 3.7903
1.7673 1.2628 6.4291
3.5959 2.5886 2.4999
3.5959 2.5886 7.7195
1.7673 -1.2628 3.7903
1.7673 -1.2628 6.4291
1.7511 -1.3008 1.2387
1.7511 -1.3008 8.9807
3.5959 0.0000 0.0000
3.5959 0.0000 5.1097
5.4407 1.3008 1.2387
5.4407 1.3008 8.9807
5.4245 1.2628 3.7903
5.4245 1.2628 6.4291
3.5959 -2.5886 2.4999
3.5959 -2.5886 7.7195
5.4245 -1.2628 3.7903
5.4245 -1.2628 6.4291
5.4407 -1.3008 1.2387
5.4407 -1.3008 8.9807
0.0000 0.0000 2.5252
0.0000 0.0000 7.6941
3.5959 2.5295 0.0000
3.5959 -2.5295 0.0000
3.5959 2.5483 5.1097
3.5959 0.0000 2.5137
3.5959 0.0000 7.7056
3.5959 -2.5483 5.1097
```

=====

(3)
# Fe2CuPt

A PBEsol-optimized structure of Fe2CuPt (meta-GGA SCAN, Alexandria).

Computed properties:
Formation energy in eV per atom: -0.264

Geometry as POSCAR:
```
Fe2CuPt
1.0
3.6156 0.0000 0.0000
0.0000 3.6156 0.0000
0.0000 0.0000 3.7942
Fe Cu Pt
2 1 1
Cartesian
0.0000 1.8078 0.0000
1.8078 0.0000 0.0000
0.0000 0.0000 1.8971
1.8078 1.8078 1.8971
```

=====

(4)
# FeCuPt

A PBEsol-optimized structure of FeCuPt (meta-GGA SCAN, Alexandria).

Computed properties:
Formation energy in eV per atom: -0.185

Geometry as POSCAR:
```
FeCuPt
1.0
-1.3394 1.3394 5.3052
1.3394 -1.3394 5.3052
1.3394 1.3394 -5.3052
Fe Cu Pt
1 1 1
Cartesian
0.0000 0.0000 0.0000
0.0000 0.0000 6.9705
0.0000 0.0000 3.5134
```

=====

(5)
# FeCuPt

A PBEsol-optimized structure of FeCuPt (meta-GGA SCAN, Alexandria).

Computed properties:
Formation energy in eV per atom: 0.196

Geometry as POSCAR:
```
FeCuPt
1.0
0.0000 2.8068 2.8068
2.8068 0.0000 2.8068
2.8068 2.8068 0.0000
Fe Cu Pt
1 1 1
Cartesian
0.0000 0.0000 0.0000
1.4034 1.4034 1.4034
2.8068 2.8068 2.8068
```

=====

(6)
# Fe2CuPt

A PBEsol-optimized structure of Fe2CuPt (meta-GGA SCAN, Alexandria).

Computed properties:
Formation energy in eV per atom: -0.223

Geometry as POSCAR:
```
Fe2CuPt
1.0
2.5515 -3.7321 0.0000
2.5515 3.7321 0.0000
0.0000 0.0000 2.6075
Fe Cu Pt
2 1 1
Cartesian
1.2758 1.8661 0.0000
1.2758 -1.8661 0.0000
0.0000 0.0000 1.3037
2.5515 0.0000 1.3037
```

=====

(7)
# FeCu2Re

A PBEsol-optimized structure of FeCu2Re (meta-GGA SCAN, Alexandria).

Computed properties:
Formation energy in eV per atom: 0.230

Geometry as POSCAR:
```
FeCu2Re
1.0
2.5438 -3.8598 0.0000
2.5438 3.8598 0.0000
0.0000 0.0000 2.5009
Fe Cu Re
1 2 1
Cartesian
0.0000 0.0000 0.0000
1.2719 1.9299 1.2505
1.2719 -1.9299 1.2505
2.5438 0.0000 0.0000
```

=====

(8)
# FeCuRe2

A PBEsol-optimized structure of FeCuRe2 (meta-GGA SCAN, Alexandria).

Computed properties:
Formation energy in eV per atom: 0.201

Geometry as POSCAR:
```
FeCuRe2
1.0
1.5160 -2.1131 0.0000
1.5160 2.1131 0.0000
0.0000 0.0000 8.3138
Fe Cu Re
1 1 2
Cartesian
0.0000 0.0000 0.0000
1.5160 0.0000 1.9437
0.0000 0.0000 4.0765
1.5160 0.0000 6.2936
```

=====

(9)
# FeCuRe2

A PBEsol-optimized structure of FeCuRe2 (meta-GGA SCAN, Alexandria).

Computed properties:
Formation energy in eV per atom: 0.310

Geometry as POSCAR:
```
FeCuRe2
1.0
0.0000 2.9471 2.9471
2.9471 0.0000 2.9471
2.9471 2.9471 0.0000
Fe Cu Re
1 1 2
Cartesian
0.0000 0.0000 0.0000
2.9471 2.9471 2.9471
1.4735 1.4735 1.4735
4.4206 4.4206 4.4206
```

=====

(10)
# FeCu2Re

A PBEsol-optimized structure of FeCu2Re (meta-GGA SCAN, Alexandria).

Computed properties:
Formation energy in eV per atom: 0.264

Geometry as POSCAR:
```
FeCu2Re
1.0
2.4890 0.0000 0.0000
0.0000 4.1754 0.0000
-0.9574 0.0000 4.6809
Fe Cu Re
1 2 1
Cartesian
0.0000 0.0000 0.0000
-0.2785 2.0877 3.5446
1.8101 2.0877 1.1363
0.7658 0.0000 2.3405
```

=====

(11)
# FeCu2Re

A PBEsol-optimized structure of FeCu2Re (meta-GGA SCAN, Alexandria).

Computed properties:
Formation energy in eV per atom: 0.216

Geometry as POSCAR:
```
FeCu2Re
1.0
2.5600 0.0000 0.0000
0.0000 2.5600 0.0000
0.0000 0.0000 7.5069
Fe Cu Re
1 2 1
Cartesian
0.0000 0.0000 0.0000
1.2800 1.2800 1.7862
1.2800 1.2800 5.7207
0.0000 0.0000 3.7535
```

=====

(12)
# Fe2CuRe

A PBEsol-optimized structure of Fe2CuRe (meta-GGA SCAN, Alexandria).

Computed properties:
Formation energy in eV per atom: 0.218

Geometry as POSCAR:
```
Fe2CuRe
1.0
2.5855 0.0000 0.0000
0.0000 3.5529 0.0000
0.0000 0.0000 5.0792
Fe Cu Re
2 1 1
Cartesian
0.0000 0.0000 1.2464
0.0000 0.0000 3.8329
1.2927 1.7765 0.0000
1.2927 1.7765 2.5396
```

=====

(13)
# FeCu2Re

A PBEsol-optimized structure of FeCu2Re (meta-GGA SCAN, Alexandria).

Computed properties:
Formation energy in eV per atom: 0.371

Geometry as POSCAR:
```
FeCu2Re
1.0
4.3998 0.0000 0.0000
0.0000 4.3998 0.0000
0.0000 0.0000 2.5710
Fe Cu Re
1 2 1
Cartesian
0.0000 0.0000 0.0000
0.0000 2.1999 1.2855
2.1999 0.0000 1.2855
2.1999 2.1999 0.0000
```

=====

(14)
# FeCu2Rh

A PBEsol-optimized structure of FeCu2Rh (meta-GGA SCAN, Alexandria).

Computed properties:
Formation energy in eV per atom: -0.025

Geometry as POSCAR:
```
FeCu2Rh
1.0
2.6209 0.0000 0.0000
0.0000 3.5238 0.0000
0.0000 0.0000 5.2003
Fe Cu Rh
1 2 1
Cartesian
0.0000 0.0000 0.0000
0.0000 0.0000 2.6684
1.3104 1.7619 3.8714
1.3104 1.7619 1.2631
```

=====

(15)
# FeCu2Rh

A PBEsol-optimized structure of FeCu2Rh (meta-GGA SCAN, Alexandria).

Computed properties:
Formation energy in eV per atom: -0.060

Geometry as POSCAR:
```
FeCu2Rh
1.0
-1.8326 1.8326 3.5780
1.8326 -1.8326 3.5780
1.8326 1.8326 -3.5780
Fe Cu Rh
1 2 1
Cartesian
0.0000 0.0000 0.0000
0.0000 0.0000 3.5780
0.0000 1.8326 1.7890
1.8326 0.0000 1.7890
```

=====

(16)
# Fe2CuRh

A PBEsol-optimized structure of Fe2CuRh (meta-GGA SCAN, Alexandria).

Computed properties:
Formation energy in eV per atom: -0.098

Geometry as POSCAR:
```
Fe2CuRh
1.0
3.6095 0.0000 0.0000
0.0000 3.6095 0.0000
0.0000 0.0000 3.6691
Fe Cu Rh
2 1 1
Cartesian
0.0000 1.8048 0.0000
1.8048 0.0000 0.0000
0.0000 0.0000 1.8346
1.8048 1.8048 1.8346
```

=====

(17)
# FeCu2Rh

A PBEsol-optimized structure of FeCu2Rh (meta-GGA SCAN, Alexandria).

Computed properties:
Formation energy in eV per atom: -0.018

Geometry as POSCAR:
```
FeCu2Rh
1.0
0.0000 2.8962 2.8962
2.8962 0.0000 2.8962
2.8962 2.8962 0.0000
Fe Cu Rh
1 2 1
Cartesian
0.0000 0.0000 0.0000
1.4481 1.4481 1.4481
2.8962 2.8962 2.8962
4.3444 4.3444 4.3444
```

=====

(18)
# FeCu2Rh

A PBEsol-optimized structure of FeCu2Rh (meta-GGA SCAN, Alexandria).

Computed properties:
Formation energy in eV per atom: -0.032

Geometry as POSCAR:
```
FeCu2Rh
1.0
2.9846 0.0000 0.0000
0.0000 2.9846 0.0000
0.0000 0.0000 5.4322
Fe Cu Rh
1 2 1
Cartesian
0.0000 0.0000 0.0000
0.0000 0.0000 2.8350
1.4923 1.4923 4.0730
1.4923 1.4923 1.3393
```

=====

(19)
# FeCu2Rh

A PBEsol-optimized structure of FeCu2Rh (meta-GGA SCAN, Alexandria).

Computed properties:
Formation energy in eV per atom: 0.011

Geometry as POSCAR:
```
FeCu2Rh
1.0
1.2950 0.7477 8.2943
-1.2950 0.7477 8.2943
0.0000 -1.4953 8.2943
Fe Cu Rh
1 2 1
Cartesian
0.0000 0.0000 0.0000
0.0000 0.0000 12.3548
0.0000 0.0000 18.6339
0.0000 0.0000 6.2294
```

=====

(20)
# Fe2CuRh

A PBEsol-optimized structure of Fe2CuRh (meta-GGA SCAN, Alexandria).

Computed properties:
Formation energy in eV per atom: -0.044

Geometry as POSCAR:
```
Fe2CuRh
1.0
2.5887 0.0000 0.0000
0.0000 3.6441 0.0000
0.0000 0.0000 5.0682
Fe Cu Rh
2 1 1
Cartesian
0.0000 0.0000 1.2540
0.0000 0.0000 3.8142
1.2943 1.8221 0.0000
1.2943 1.8221 2.5341
```

=====

(21)
# FeCu2Rh

A PBEsol-optimized structure of FeCu2Rh (meta-GGA SCAN, Alexandria).

Computed properties:
Formation energy in eV per atom: 0.092

Geometry as POSCAR:
```
FeCu2Rh
1.0
1.2851 0.7419 8.4183
-1.2851 0.7419 8.4183
0.0000 -1.4839 8.4183
Fe Cu Rh
1 2 1
Cartesian
0.0000 0.0000 0.0000
0.0000 0.0000 6.3708
0.0000 0.0000 18.8842
0.0000 0.0000 12.6275
```

=====

(22)
# FeCu2Rh

A PBEsol-optimized structure of FeCu2Rh (meta-GGA SCAN, Alexandria).

Computed properties:
Formation energy in eV per atom: -0.031

Geometry as POSCAR:
```
FeCu2Rh
1.0
-1.7777 1.7834 3.7940
1.7777 -1.7834 3.7940
1.7777 1.7834 -3.7940
Fe Cu Rh
1 2 1
Cartesian
0.0000 0.0000 0.0000
1.7777 0.0000 1.8962
0.0000 1.7834 1.8977
0.0000 0.0000 3.7940
```

=====

(23)
# FeCu2Rh

A PBEsol-optimized structure of FeCu2Rh (meta-GGA SCAN, Alexandria).

Computed properties:
Formation energy in eV per atom: 0.013

Geometry as POSCAR:
```
FeCu2Rh
1.0
4.3158 -1.3063 0.0000
4.3158 1.3063 0.0000
-0.8576 0.0000 4.2573
Fe Cu Rh
1 2 1
Cartesian
0.0000 0.0000 0.0000
1.5255 0.0000 3.2153
6.2485 0.0000 1.0419
3.8870 0.0000 2.1286
```

=====

(24)
# FeCu2Rh

A PBEsol-optimized structure of FeCu2Rh (meta-GGA SCAN, Alexandria).

Computed properties:
Formation energy in eV per atom: 0.016

Geometry as POSCAR:
```
FeCu2Rh
1.0
4.2234 -1.3181 0.0000
4.2234 1.3181 0.0000
-0.8762 0.0000 4.3200
Fe Cu Rh
1 2 1
Cartesian
0.0000 0.0000 0.0000
1.4839 0.0000 3.1554
3.8085 0.0000 2.1919
6.1404 0.0000 0.9850
```

=====

(25)
# Fe2CuRh

A PBEsol-optimized structure of Fe2CuRh (meta-GGA SCAN, Alexandria).

Computed properties:
Formation energy in eV per atom: 0.037

Geometry as POSCAR:
```
Fe2CuRh
1.0
1.3984 -2.1075 0.0000
1.3984 2.1075 0.0000
0.0000 0.0000 8.2082
Fe Cu Rh
2 1 1
Cartesian
0.0000 0.0000 0.0000
1.3984 0.0000 1.9317
0.0000 0.0000 3.9485
1.3984 0.0000 6.1136
```

=====

(26)
# Fe2CuRh

A PBEsol-optimized structure of Fe2CuRh (meta-GGA SCAN, Alexandria).

Computed properties:
Formation energy in eV per atom: -0.069

Geometry as POSCAR:
```
Fe2CuRh
1.0
2.5453 -3.6263 0.0000
2.5453 3.6263 0.0000
0.0000 0.0000 2.5934
Fe Cu Rh
2 1 1
Cartesian
1.2726 1.8131 0.0000
1.2726 -1.8131 0.0000
0.0000 0.0000 1.2967
2.5453 0.0000 1.2967
```

=====

(27)
# Fe2CuRh3S8

A PBEsol-optimized structure of Fe2CuRh3S8 (meta-GGA SCAN, Alexandria).

Computed properties:
Energy relative to the elements, uncorrected in kJ/mol of formula units: -657.4

Geometry as POSCAR:
```
Fe2CuRh3S8
1.0
3.3731 1.9475 5.4038
-3.3731 1.9475 5.4038
0.0000 -3.8949 5.4038
Fe Cu Rh S
2 1 3 8
Cartesian
0.0000 0.0000 0.0000
0.0000 0.0000 5.8996
0.0000 0.0000 12.2123
0.0000 -2.0258 8.8178
-1.7544 1.0129 8.8178
1.7544 1.0129 8.8178
0.0000 0.0000 2.0516
0.0000 -1.9323 4.8053
-1.6734 0.9662 4.8053
-1.5168 -0.8757 7.4280
1.5168 -0.8757 7.4280
0.0000 1.7515 7.4280
0.0000 0.0000 10.0204
1.6734 0.9662 4.8053
```

=====

(28)
# FeCuRh4S8

A PBEsol-optimized structure of FeCuRh4S8 (meta-GGA SCAN, Alexandria).

Computed properties:
Energy relative to the elements, uncorrected in kJ/mol of formula units: -825.6

Geometry as POSCAR:
```
FeCuRh4S8
1.0
0.0000 4.8498 4.8498
4.8498 0.0000 4.8498
4.8498 4.8498 0.0000
Fe Cu Rh S
1 1 4 8
Cartesian
0.0000 0.0000 0.0000
7.2746 7.2746 7.2746
3.6396 3.6396 3.6396
6.0599 6.0599 3.6396
6.0599 3.6396 6.0599
3.6396 6.0599 6.0599
1.2759 1.2759 1.2759
3.5739 3.5739 1.2759
3.5739 1.2759 3.5739
5.9700 3.7295 3.7295
1.2759 3.5739 3.5739
3.7295 5.9700 3.7295
3.7295 3.7295 5.9700
5.9700 5.9700 5.9700
```

=====

no.,E_tot (eV/atom)
1,-30.57
2,-24.36
3,-30.68
4,-34.69
5,-34.31
6,-30.64
7,-29.68
8,-43.68
9,-43.57
10,-29.64
11,-29.69
12,-30.42
13,-29.54
14,-20.60
15,-20.64
16,-21.41
17,-20.59
18,-20.61
19,-20.56
20,-21.35
21,-20.48
22,-20.61
23,-20.56
24,-20.56
25,-21.27
26,-21.38
27,-16.90
28,-18.14